1.
CdAs2Ir after structural relaxation, computed with PBE.

Unit cell a=7.2903 b=7.2903 c=7.2903 alpha=156.37 beta=148.64 gamma=39.64
Closest atoms and distances in Å follow each position.
Atoms (fractional coordinates):
Ir 0.2133 0.7133 0.5000  6 As 2.51-2.63
As 0.7784 0.2784 0.5000  4 Ir 2.63
As 0.0667 0.0667 0.0000  2 Ir 2.51
Cd 0.4416 0.4416 0.0000  6 As 2.98-3.01, 2 Cd 2.99

Output
density	9.353	g/cm³
Fermi-level density of states	0.520	states/eV per atom
crystal system	orthorhombic
ΔH_f (0 K)	0.11	eV/atom

=====

2.
CdAsIr after structural relaxation, computed with PBE.

Unit cell a=4.3929 b=4.3929 c=4.3929 alpha=60.00 beta=60.00 gamma=60.00
Closest atoms and distances in Å follow each position.
Atoms (fractional coordinates):
Cd 0.5000 0.5000 0.5000  4 Ir 2.69
Ir 0.7500 0.7500 0.7500  4 As 2.69, 4 Cd 2.69
As 0.0000 0.0000 0.0000  4 Ir 2.69

Output
density	10.514	g/cm³
Fermi-level density of states	0.790	states/eV per atom
crystal system	cubic
ΔH_f (0 K)	0.12	eV/atom

=====

3.
Cd3AsIr after structural relaxation, computed with PBE.

Unit cell a=5.0312 b=5.0312 c=5.0312 alpha=90.00 beta=90.00 gamma=90.00
Closest atoms and distances in Å follow each position.
Atoms (fractional coordinates):
Ir 0.5000 0.5000 0.5000  12 Cd 3.56
Cd 0.0000 0.0000 0.5000  2 As 2.52
Cd 0.5000 0.0000 0.0000  2 As 2.52
As 0.0000 0.0000 0.0000  6 Cd 2.52
Cd 0.0000 0.5000 0.0000  2 As 2.52

Output
density	7.880	g/cm³
Fermi-level density of states	1.083	states/eV per atom
crystal system	cubic
ΔH_f (0 K)	1.03	eV/atom

=====

> The highest density belongs to which entry?

CdAsIr

=====

> Which value of ΔH_f (0 K) does entry 2 give?

0.12 eV/atom

=====

> Among the records above, which one has the highest density?

CdAsIr